A relaxed SeO2 crystal, computed with GGA-PBEsol.

Geometry as CIF:
```
data_SeO2
_chemical_formula_sum 'Se8 O16'
_cell_length_a 5.097
_cell_length_b 4.400
_cell_length_c 15.598
_cell_angle_alpha 90.00
_cell_angle_beta 90.00
_cell_angle_gamma 90.00
_symmetry_space_group_name_H-M 'P m c 21'
_symmetry_Int_Tables_number 26
loop_
_symmetry_equiv_pos_as_xyz
'x,y,z'
'-x,-y,z+1/2'
'-x,y,z'
'x,-y,z+1/2'
loop_
_atom_site_label
_atom_site_type_symbol
_atom_site_fract_x
_atom_site_fract_y
_atom_site_fract_z
Se1 Se 0.000 0.015 0.000
Se2 Se 0.000 0.444 0.747
Se3 Se 0.500 0.173 0.182
Se4 Se 0.500 0.391 0.932
O1 O 0.000 0.076 0.728
O2 O 0.000 0.355 0.485
O3 O 0.249 0.102 0.920
O4 O 0.251 0.464 0.168
O5 O 0.500 0.057 0.081
O6 O 0.500 0.500 0.331
```

Summary:
**ΔE_f (raw)**: -197 kJ/mol of formula units
**Energy**: -131.1 eV per cell
**Crystal system**: orthorhombic



A relaxed SeO3 crystal, computed with GGA-PBEsol.

Geometry as CIF:
```
data_SeO3
_chemical_formula_sum 'Se8 O24'
_cell_length_a 9.789
_cell_length_b 9.789
_cell_length_c 5.408
_cell_angle_alpha 90.00
_cell_angle_beta 90.00
_cell_angle_gamma 90.00
_symmetry_space_group_name_H-M 'P -4 21 c'
_symmetry_Int_Tables_number 114
loop_
_symmetry_equiv_pos_as_xyz
'x,y,z'
'y,-x,-z'
'-x,-y,z'
'-y,x,-z'
'x+1/2,-y+1/2,-z+1/2'
'y+1/2,x+1/2,z+1/2'
'-x+1/2,y+1/2,-z+1/2'
'-y+1/2,-x+1/2,z+1/2'
loop_
_atom_site_label
_atom_site_type_symbol
_atom_site_fract_x
_atom_site_fract_y
_atom_site_fract_z
Se1 Se 0.009 0.225 0.441
O1 O 0.060 0.661 0.611
O2 O 0.098 0.246 0.195
O3 O 0.100 0.118 0.660
```

Summary:
**ΔE_f (raw)**: -129 kJ/mol of formula units
**Energy**: -167.5 eV per cell
**Crystal system**: tetragonal